# 1
The following is a DFT calculation (GGA-PBE) of a geometry-optimized Th2SnSb structure.

## Properties
E_form (uncorrected) (eV per atom): -0.576

Structure (POSCAR):
```
Th2SnSb
1.0
-4.312 -2.590 2.163
0.766 -4.175 3.457
-1.168 0.597 5.315
Sb Th Sn
1 2 1
direct
0.000 0.000 0.000
0.250 0.250 0.250
0.750 0.750 0.750
0.500 0.500 0.500
```



# 2
The following is a DFT calculation (GGA-PBE) of a geometry-optimized Nd4Dy6Sc structure.

## Properties
ΔE_f (meV/atom): 132

Structure (POSCAR):
```
Nd4Dy6Sc
1.0
5.726 0.000 0.000
-2.863 4.815 0.000
0.000 0.000 25.753
Nd Dy Sc
8 12 2
direct
0.846 0.692 0.547
0.533 0.065 0.623
0.154 0.308 0.453
0.467 0.935 0.123
0.154 0.308 0.047
0.846 0.692 0.953
0.467 0.935 0.377
0.533 0.065 0.877
0.500 0.000 0.500
0.522 0.045 0.750
0.478 0.955 0.250
0.859 0.717 0.815
0.192 0.385 0.889
0.500 0.000 0.000
0.141 0.283 0.315
0.141 0.283 0.185
0.192 0.385 0.611
0.859 0.717 0.685
0.808 0.615 0.111
0.808 0.615 0.389
0.812 0.624 0.250
0.188 0.376 0.750
```



# 3
The following is a DFT calculation (GGA-PBE) of a geometry-optimized InWAu2 structure.

## Properties
ΔE_f (meV/atom): 565

Structure (POSCAR):
```
InWAu2
1.0
-4.762 -0.311 1.686
-1.147 -4.922 0.263
3.965 2.533 1.865
In Au W
1 2 1
direct
0.500 0.500 0.000
0.000 0.000 0.000
0.250 0.750 0.500
0.750 0.250 0.500
```



# 4
The following is a DFT calculation (GGA-PBE) of a geometry-optimized MgZnCdO2 structure.

## Properties
E_form (uncorrected) (eV per atom): 0.070

Structure (POSCAR):
```
MgZnCdO2
1.0
-1.095 2.300 3.440
-2.110 -3.977 1.987
3.709 -1.033 1.870
Zn Cd O Mg
1 1 2 1
direct
0.000 0.500 0.000
0.000 0.000 0.000
0.500 0.000 0.000
0.000 0.000 0.500
0.500 0.500 0.500
```



# 5
The following is a DFT calculation (GGA-PBE) of a geometry-optimized TaTlMo2 structure.

## Properties
ΔE_f (meV/atom): 480

Structure (POSCAR):
```
TaTlMo2
1.0
9.143 0.003 0.002
8.612 3.071 0.002
8.612 1.491 2.684
Mo Ta Tl
2 1 1
direct
0.990 0.990 0.990
0.253 0.253 0.253
0.509 0.509 0.509
0.748 0.748 0.748
```



# 6
The following is a DFT calculation (GGA-PBE) of a geometry-optimized TlTe2 structure.

## Properties
E_form (uncorrected) (eV per atom): -0.018

Structure (POSCAR):
```
TlTe2
1.0
-0.141 7.609 -6.673
-3.249 4.730 -8.338
0.079 -5.130 8.725
Te Tl
2 1
direct
0.645 0.645 0.000
0.355 0.355 0.000
0.000 0.000 0.000
```



# 7
The following is a DFT calculation (GGA-PBE) of a geometry-optimized TiCuIO2 structure.

## Properties
E_form (uncorrected) (eV per atom): 0.126

Structure (POSCAR):
```
TiCuIO2
1.0
-3.496 0.560 1.689
0.898 -2.658 2.741
1.974 3.636 2.879
I O Cu Ti
1 2 1 1
direct
0.000 0.000 0.500
0.500 0.000 0.000
0.000 0.500 0.000
0.000 0.000 0.000
0.500 0.500 0.500
```



# 8
The following is a DFT calculation (GGA-PBE) of a geometry-optimized ScCr2Ga2 structure.

## Properties
ΔE_f (meV/atom): -32

Structure (POSCAR):
```
ScCr2Ga2
1.0
7.438 0.000 0.000
0.000 7.438 0.000
0.000 0.000 2.730
Sc Ga Cr
2 4 4
direct
0.500 0.500 0.000
0.000 0.000 0.000
0.312 0.188 0.500
0.188 0.688 0.500
0.688 0.812 0.500
0.812 0.312 0.500
0.399 0.899 0.000
0.601 0.101 0.000
0.101 0.399 0.000
0.899 0.601 0.000
```



# 9
The following is a DFT calculation (GGA-PBE) of a geometry-optimized SmErPd6 structure.

## Properties
ΔE_f (meV/atom): -850

Structure (POSCAR):
```
SmErPd6
1.0
-1.116 2.983 -2.651
1.332 -2.316 -3.167
-7.496 -3.399 -0.668
Pd Sm Er
6 1 1
direct
0.000 0.500 0.745
0.500 0.500 0.500
0.000 0.500 0.255
0.500 0.000 0.255
0.500 0.000 0.745
0.500 0.500 0.000
0.000 0.000 0.000
0.000 0.000 0.500
```



# 10
The following is a DFT calculation (GGA-PBE) of a geometry-optimized LaCrTc structure.

## Properties
ΔE_f (meV/atom): 328

Structure (POSCAR):
```
LaCrTc
1.0
-2.073 -2.183 2.695
3.317 -1.536 -1.721
2.579 1.754 3.405
Cr Tc La
1 1 1
direct
0.000 0.000 0.853
0.333 0.667 0.814
0.667 0.333 0.334
```



# 11
The following is a DFT calculation (GGA-PBE) of a geometry-optimized NaSc2Co structure.

## Properties
ΔE_f (meV/atom): 60

Structure (POSCAR):
```
NaSc2Co
1.0
-6.638 -7.316 -0.388
-3.860 -9.046 1.001
-6.033 -7.187 3.113
Sc Co Na
2 1 1
direct
0.119 0.119 0.119
0.881 0.881 0.881
0.500 0.500 0.500
0.000 0.000 0.000
```



# 12
The following is a DFT calculation (GGA-PBE) of a geometry-optimized Pr2Sm4Y7 structure.

## Properties
ΔE_f (meV/atom): 18

Structure (POSCAR):
```
Pr2Sm4Y7
1.0
6.023 1.584 0.558
-2.950 11.018 0.437
0.835 -1.189 6.080
Sm Y Pr
4 7 2
direct
0.077 0.153 0.537
0.615 0.230 0.307
0.385 0.770 0.693
0.923 0.847 0.463
0.461 0.924 0.231
0.000 0.000 0.000
0.846 0.693 0.922
0.769 0.539 0.386
0.231 0.461 0.614
0.154 0.307 0.078
0.539 0.076 0.769
0.692 0.383 0.846
0.308 0.617 0.154
```



It is found that the E values, taken in the order of the records, are -6.317; -4.688; -4.996; -2.670; -8.490; -2.902; -4.566; -6.359; -5.905; -7.978; -5.212; -5.650 eV/atom.